*P*
A geometry-optimized PmGa3 structure, computed with GGA-PBE.

Cell: 6.387 6.387 7.866 Å, 66.05 66.05 60.00°
Atoms (fractional coordinates):
1 Ga 0.500 0.500 0.000
2 Ga 0.276 0.699 0.327
3 Ga 0.301 0.301 0.673
4 Ga 0.724 0.301 0.673
5 Ga 0.000 0.500 0.000
6 Pm 0.215 0.215 0.356
7 Ga 0.699 0.699 0.327
8 Ga 0.699 0.276 0.327
9 Ga 0.301 0.724 0.673
10 Pm 0.785 0.785 0.644
11 Ga 0.500 0.000 0.000
12 Pm 0.000 0.000 0.000

Volume (Å³/f.u.): 81.8
Density (g cm⁻³): 7.2
Symmetry: No. 166

***

*Q*
A geometry-optimized PmGa3 structure, computed with GGA-PBE.

Cell: 6.413 6.413 4.600 Å, 90.00 90.00 120.00°
Atoms (fractional coordinates):
1 Ga 0.856 0.144 0.750
2 Pm 0.667 0.333 0.250
3 Ga 0.856 0.712 0.750
4 Pm 0.333 0.667 0.750
5 Ga 0.144 0.288 0.250
6 Ga 0.288 0.144 0.750
7 Ga 0.144 0.856 0.250
8 Ga 0.712 0.856 0.250

Volume (Å³/f.u.): 81.9
Density (g cm⁻³): 7.2
Symmetry: No. 194

***

*R*
A geometry-optimized PmGa3 structure, computed with GGA-PBE.

Cell: 4.156 4.156 6.337 Å, 109.14 109.14 90.00°
Atoms (fractional coordinates):
1 Ga 0.279 0.279 0.557
2 Ga 0.500 0.500 0.000
3 Ga 0.721 0.721 0.443
4 Pm 0.000 0.000 0.000

Volume (Å³/f.u.): 97.0
Density (g cm⁻³): 6.1
Symmetry: No. 139

***

*S*
A geometry-optimized PmGa3 structure, computed with GGA-PBE.

Cell: 4.330 4.330 5.830 Å, 68.20 68.20 60.00°
Atoms (fractional coordinates):
1 Ga 0.723 0.723 0.832
2 Ga 0.000 0.000 0.000
3 Pm 0.500 0.500 0.500
4 Ga 0.277 0.277 0.168

Volume (Å³/f.u.): 85.5
Density (g cm⁻³): 6.9
Symmetry: No. 166

***

Quick one: least stable of them? *R*